Fe3CoMo2 | PBE | relaxed

## Properties
ρ   9474 kg/m3
D(E_F)   0.9688 states/eV/atom
Formation energy   -0.56 kJ per mole of atoms

```
data_Fe3CoMo2
_symmetry_space_group_name_H-M 'P 63/m m c'
_symmetry_Int_Tables_number 194
_symmetry_space_group_name_Hall '-P 6c 2c'
_cell_length_a 4.6626
_cell_length_b 4.6626
_cell_length_c 7.7896
_cell_angle_alpha 90.00
_cell_angle_beta 90.00
_cell_angle_gamma 120.00
loop_
_atom_site_label
_atom_site_fract_x
_atom_site_fract_y
_atom_site_fract_z
Fe1 0.1696 0.3391 0.2500
Co1 0.0000 0.0000 0.0000
Mo1 0.3333 0.6667 0.5662
```